Below is RbBi3P after structural relaxation, with properties calculated at the PBE level.

Cell lengths 5.623, 5.623, 5.623 Å; angles 90.00, 90.00, 90.00 degrees
Fractional coordinates of all 5 atoms:
P (0.000, 0.000, 0.000)
Bi (0.000, 0.000, 0.500)
Bi (0.000, 0.500, 0.000)
Rb (0.500, 0.500, 0.500)
Bi (0.500, 0.000, 0.000)

As for the total DFT energy (no corrections): -3.392 eV/atom. The formation energy comes out at 0.2117 eV/atom. Its magnetic moment is 0.000 μB/atom. Its excess energy over the best structure of this formula in the dataset is 0.0 meV/atom.